[1]
## La2NdDy2Tm2 (GGA-PBE)

Data for La2NdDy2Tm2 after structural relaxation.

The calculated formation energy is 0.032 eV per atom.

Cell lengths 5.0956, 6.2421, 8.0944 Å; angles 97.50, 90.00, 114.09 degrees
Fractional coordinates of all 7 atoms:
Dy 0.5708 0.1415 0.7194
Tm 0.2839 0.5678 0.8620
La 0.8573 0.7146 0.5721
La 0.1427 0.2854 0.4279
Dy 0.4292 0.8585 0.2806
Nd 0.0000 0.0000 0.0000
Tm 0.7161 0.4322 0.1380

[2]
## Ga3Pd12Au (GGA-PBE)

Data for Ga3Pd12Au after structural relaxation.

The calculated formation energy is -0.348 eV per atom.

Cell lengths 3.9729, 3.9729, 15.5170 Å; angles 90.00, 90.00, 90.00 degrees
Fractional coordinates of all 16 atoms:
Pd 0.5000 0.5000 0.5000
Pd 0.5000 0.5000 0.2529
Pd 0.0000 0.5000 0.6240
Pd 0.5000 0.0000 0.8691
Pd 0.0000 0.5000 0.8691
Ga 0.0000 0.0000 0.5000
Pd 0.5000 0.0000 0.3760
Pd 0.0000 0.5000 0.3760
Pd 0.5000 0.5000 0.7471
Ga 0.0000 0.0000 0.7465
Pd 0.0000 0.5000 0.1309
Ga 0.0000 0.0000 0.2535
Pd 0.5000 0.0000 0.6240
Au 0.0000 0.0000 0.0000
Pd 0.5000 0.0000 0.1309
Pd 0.5000 0.5000 0.0000

[3]
## K3Ru5O12 (GGA-PBE)

Data for K3Ru5O12 after structural relaxation.

The uncorrected formation energy is -1012 meV/atom.

Cell lengths 11.3117, 11.3117, 11.3117 Å; angles 109.47, 109.47, 109.47 degrees
Fractional coordinates of all 80 atoms:
Ru 0.0000 0.5000 0.5000
O 0.8121 0.4961 0.3981
K 0.1250 0.2500 0.8750
O 0.5860 0.8981 0.4020
O 0.4020 0.3981 0.5860
O 0.4961 0.6840 0.0980
O 0.8160 0.9140 0.3121
K 0.2500 0.6250 0.8750
Ru 0.8750 0.2500 0.6250
O 0.0980 0.1840 0.4961
O 0.6019 0.5980 0.9140
Ru 0.0000 0.0000 0.0000
O 0.5860 0.6879 0.6840
O 0.5980 0.6019 0.4140
O 0.0039 0.4020 0.8160
O 0.1840 0.0980 0.9961
O 0.6019 0.0039 0.1879
O 0.1840 0.0860 0.6879
O 0.5039 0.1879 0.1019
Ru 0.1250 0.7500 0.3750
O 0.8160 0.9020 0.0039
Ru 0.7500 0.6250 0.3750
O 0.5039 0.3160 0.9020
O 0.4140 0.3121 0.3160
O 0.4140 0.1019 0.5980
O 0.3121 0.4140 0.8160
O 0.5980 0.9961 0.6840
O 0.0039 0.6019 0.6879
Ru 0.0000 0.5000 0.0000
O 0.9020 0.8160 0.5039
Ru 0.7500 0.1250 0.8750
Ru 0.5000 0.0000 0.5000
O 0.9140 0.0980 0.6019
O 0.0860 0.9020 0.3981
O 0.4020 0.0039 0.3160
O 0.8121 0.3160 0.9140
Ru 0.5000 0.0000 0.0000
O 0.3160 0.8121 0.4140
K 0.3750 0.6250 0.2500
O 0.1879 0.5039 0.6019
Ru 0.6250 0.7500 0.8750
O 0.8981 0.5860 0.9020
Ru 0.2500 0.3750 0.6250
O 0.1019 0.4140 0.0980
Ru 0.5000 0.5000 0.5000
O 0.0860 0.1840 0.1879
Ru 0.8750 0.6250 0.7500
Ru 0.2500 0.8750 0.1250
K 0.7500 0.3750 0.1250
O 0.3981 0.9961 0.8121
Ru 0.3750 0.2500 0.1250
K 0.3750 0.7500 0.6250
K 0.6250 0.2500 0.3750
Ru 0.5000 0.5000 0.0000
K 0.8750 0.1250 0.2500
O 0.3981 0.4020 0.0860
O 0.1879 0.6840 0.0860
K 0.6250 0.3750 0.7500
O 0.9140 0.8160 0.8121
Ru 0.1250 0.3750 0.2500
Ru 0.6250 0.8750 0.2500
Ru 0.3750 0.1250 0.7500
K 0.2500 0.1250 0.3750
O 0.9961 0.5980 0.1840
O 0.3160 0.5039 0.4020
O 0.9020 0.0860 0.8981
O 0.9961 0.3981 0.3121
O 0.6840 0.4961 0.5980
O 0.6879 0.5860 0.1840
O 0.4961 0.8121 0.8981
K 0.7500 0.8750 0.6250
O 0.8981 0.3121 0.4961
O 0.0980 0.9140 0.1019
O 0.3121 0.8981 0.9961
K 0.8750 0.7500 0.1250
K 0.1250 0.8750 0.7500
O 0.1019 0.6879 0.5039
O 0.6879 0.1019 0.0039
Ru 0.0000 0.0000 0.5000
O 0.6840 0.1879 0.5860

[4]
## AlPtI2 (GGA-PBE)

Data for AlPtI2 after structural relaxation.

The uncorrected formation energy is 339 meV/atom.

Cell lengths 6.5488, 6.5488, 7.9500 Å; angles 65.68, 65.68, 90.00 degrees
Fractional coordinates of all 8 atoms:
I 0.6614 0.1250 0.2500
Pt 0.7500 0.2500 0.5000
I 0.8750 0.9114 0.7500
Al 0.5000 0.5000 0.0000
Al 0.2500 0.7500 0.5000
I 0.3750 0.3386 0.7500
Pt 0.0000 0.0000 0.0000
I 0.0886 0.6250 0.2500

[5]
## Hf2TiTl (GGA-PBE)

Data for Hf2TiTl after structural relaxation.

The calculated formation energy is 0.185 eV per atom.

Cell lengths 4.9191, 4.9191, 4.9191 Å; angles 60.00, 60.00, 60.00 degrees
Fractional coordinates of all 4 atoms:
Ti 0.0000 0.0000 0.0000
Hf 0.7500 0.7500 0.7500
Tl 0.5000 0.5000 0.5000
Hf 0.2500 0.2500 0.2500

[6]
## Sm2HoTlO6 (GGA-PBE)

Data for Sm2HoTlO6 after structural relaxation.

The uncorrected formation energy is -2740 meV/atom.

Cell lengths 5.9056, 5.9057, 6.1582 Å; angles 61.34, 61.34, 60.00 degrees
Fractional coordinates of all 10 atoms:
O 0.6210 0.1953 0.2586
O 0.7051 0.1124 0.7499
O 0.1953 0.9250 0.2586
O 0.9250 0.6210 0.2586
Sm 0.5255 0.5255 0.4235
Sm 0.0284 0.0284 0.9148
O 0.1124 0.4326 0.7500
O 0.4325 0.7051 0.7499
Ho 0.8090 0.8090 0.5730
Tl 0.3072 0.3072 0.0783

[7]
## LiIn8 (GGA-PBE)

Data for LiIn8 after structural relaxation.

The calculated formation energy is -0.039 eV per atom.

Cell lengths 4.5717, 7.4719, 7.4719 Å; angles 84.63, 72.19, 72.19 degrees
Fractional coordinates of all 9 atoms:
In 0.6694 0.3306 0.3306
In 0.3380 0.0000 0.3241
Li 0.0000 0.0000 0.0000
In 0.0000 0.3306 0.6694
In 0.0000 0.6694 0.3306
In 0.3306 0.6694 0.6694
In 0.6620 0.0000 0.6759
In 0.6620 0.6759 0.0000
In 0.3380 0.3241 0.0000

[8]
## YCd3Cu8 (GGA-PBE)

Data for YCd3Cu8 after structural relaxation.

The calculated formation energy is -0.095 eV per atom.

Cell lengths 5.1063, 5.1063, 8.2017 Å; angles 90.00, 90.00, 120.00 degrees
Fractional coordinates of all 12 atoms:
Y 0.0000 0.0000 0.5624
Cu 0.3333 0.6667 0.5009
Cd 0.6667 0.3333 0.0595
Cu 0.5024 0.4976 0.7529
Cu 0.1664 0.3327 0.2481
Cd 0.0000 0.0000 0.9508
Cu 0.3333 0.6667 0.9970
Cu 0.6673 0.8336 0.2481
Cu 0.5024 0.0048 0.7529
Cd 0.6667 0.3333 0.4265
Cu 0.1664 0.8336 0.2481
Cu 0.9952 0.4976 0.7529

The records above give, respectively, density of states at the Fermi level values of 11.37 18.50 52.61 7.70 5.15 0.00 4.40 6.43 states/eV per cell.